1.
Density functional theory data (PBE) for crystalline V5SiGe at its relaxed geometry. Values from VASP.

Calculated values
As for the crystal system: monoclinic. Its space group is No. 15. The energy is -8.0723 eV per atom. The value obtained for the density of states at the Fermi level is 13.0 states/eV/cell.

Geometry as Quantum ESPRESSO input:
```
&SYSTEM
  ibrav = 0, nat = 14, ntyp = 3
/
ATOMIC_SPECIES
V 50.94 V.upf
Si 28.09 Si.upf
Ge 72.64 Ge.upf
CELL_PARAMETERS angstrom
3.225 -3.286 0.000
3.225 3.286 0.000
-2.127 0.000 9.244
ATOMIC_POSITIONS crystal
V 0.036 0.541 0.134
V 0.053 0.947 0.750
V 0.246 0.502 0.462
V 0.459 0.964 0.366
V 0.498 0.754 0.038
V 0.502 0.246 0.962
V 0.541 0.036 0.634
V 0.754 0.498 0.538
V 0.947 0.053 0.250
V 0.964 0.459 0.866
Si 0.000 0.000 0.000
Si 0.000 0.000 0.500
Ge 0.438 0.562 0.750
Ge 0.562 0.438 0.250
```

2.
Density functional theory data (PBE) for crystalline RbYS2Cl at its relaxed geometry. Values from VASP.

Calculated values
As for the crystal system: tetragonal. Its space group is No. 123. The energy is -3.4478 eV per atom. The value obtained for the density of states at the Fermi level is 2.6 states/eV/cell.

Geometry as Quantum ESPRESSO input:
```
&SYSTEM
  ibrav = 0, nat = 5, ntyp = 4
/
ATOMIC_SPECIES
Rb 85.47 Rb.upf
Y 88.91 Y.upf
S 32.06 S.upf
Cl 35.45 Cl.upf
CELL_PARAMETERS angstrom
5.420 0.000 0.000
0.000 5.420 0.000
0.000 0.000 5.353
ATOMIC_POSITIONS crystal
Rb 0.000 0.000 0.000
Y 0.500 0.500 0.500
S 0.000 0.500 0.000
S 0.500 0.000 0.000
Cl 0.000 0.000 0.500
```

Which value of energy does entry 2 give? -3.4478 eV per atom